# 1
# BaMnBi2 | the Alexandria database | PBE | optimized geometry
data_BaMnBi2
_space_group_name_H-M_alt 'F m -3 m'
_space_group_IT_number 225
_space_group_name_Hall '-F 4 2 3'
_cell_length_a 7.682
_cell_length_b 7.682
_cell_length_c 7.682
_cell_angle_alpha 90.00
_cell_angle_beta 90.00
_cell_angle_gamma 90.00
loop_
_atom_site_label
_atom_site_type_symbol
_atom_site_fract_x
_atom_site_fract_y
_atom_site_fract_z
Ba1 Ba 0.000 0.000 0.000
Mn1 Mn 0.000 0.000 0.500
Bi1 Bi 0.250 0.250 0.250
# - Energy of formation from the pure elements: 512 meV/atom
# - DOS at the Fermi energy: 9.9 states/eV/f.u.
# - Magnetic moment: 0.0488 μB per atom

---

# 2
# BaMnBi2 | the Alexandria database | PBE | optimized geometry
data_BaMnBi2
_space_group_name_H-M_alt 'I -4 2 d'
_space_group_IT_number 122
_space_group_name_Hall 'I -4 2bw'
_cell_length_a 6.085
_cell_length_b 6.085
_cell_length_c 17.796
_cell_angle_alpha 90.00
_cell_angle_beta 90.00
_cell_angle_gamma 90.00
loop_
_atom_site_label
_atom_site_type_symbol
_atom_site_fract_x
_atom_site_fract_y
_atom_site_fract_z
Ba1 Ba 0.000 0.000 0.000
Mn1 Mn 0.000 0.000 0.500
Bi1 Bi 0.090 0.250 0.625
# - Energy of formation from the pure elements: -76 meV/atom
# - DOS at the Fermi energy: 2.7 states/eV/f.u.
# - Magnetic moment: 1.1367 μB per atom

---

# 3
# Ba3MnBi | the Alexandria database | PBE | optimized geometry
data_Ba3MnBi
_space_group_name_H-M_alt 'P m -3 m'
_space_group_IT_number 221
_space_group_name_Hall '-P 4 2 3'
_cell_length_a 5.666
_cell_length_b 5.666
_cell_length_c 5.666
_cell_angle_alpha 90.00
_cell_angle_beta 90.00
_cell_angle_gamma 90.00
loop_
_atom_site_label
_atom_site_type_symbol
_atom_site_fract_x
_atom_site_fract_y
_atom_site_fract_z
Ba1 Ba 0.000 0.000 0.500
Mn1 Mn 0.000 0.000 0.000
Bi1 Bi 0.500 0.500 0.500
# - Energy of formation from the pure elements: 202 meV/atom
# - DOS at the Fermi energy: 4.4 states/eV/f.u.
# - ΔE to the lowest computed polymorph: 0 meV/atom
# - Magnetic moment: 0.0000 μB per atom

---

# 4
# Ba2MnBi2 | the Alexandria database | PBE | optimized geometry
data_Ba2MnBi2
_space_group_name_H-M_alt 'I 4/m m m'
_space_group_IT_number 139
_space_group_name_Hall '-I 4 2'
_cell_length_a 7.013
_cell_length_b 7.013
_cell_length_c 12.547
_cell_angle_alpha 90.00
_cell_angle_beta 90.00
_cell_angle_gamma 90.00
loop_
_atom_site_label
_atom_site_type_symbol
_atom_site_fract_x
_atom_site_fract_y
_atom_site_fract_z
Ba1 Ba 0.000 0.500 0.250
Mn1 Mn 0.000 0.000 0.000
Bi1 Bi 0.000 0.000 0.213
# - Energy of formation from the pure elements: -143 meV/atom
# - DOS at the Fermi energy: 0.8 states/eV/f.u.
# - Magnetic moment: 0.9875 μB per atom

---

# 5
# BaMn3Bi | the Alexandria database | PBE | optimized geometry
data_BaMn3Bi
_space_group_name_H-M_alt 'P m -3 m'
_space_group_IT_number 221
_space_group_name_Hall '-P 4 2 3'
_cell_length_a 5.283
_cell_length_b 5.283
_cell_length_c 5.283
_cell_angle_alpha 90.00
_cell_angle_beta 90.00
_cell_angle_gamma 90.00
loop_
_atom_site_label
_atom_site_type_symbol
_atom_site_fract_x
_atom_site_fract_y
_atom_site_fract_z
Ba1 Ba 0.000 0.000 0.000
Mn1 Mn 0.000 0.000 0.500
Bi1 Bi 0.500 0.500 0.500
# - Energy of formation from the pure elements: 1797 meV/atom
# - DOS at the Fermi energy: 3.8 states/eV/f.u.
# - ΔE to the lowest computed polymorph: 931 meV/atom
# - Magnetic moment: 2.3795 μB per atom

---

# 6
# BaMn3Bi | the Alexandria database | PBE | optimized geometry
data_BaMn3Bi
_space_group_name_H-M_alt 'P m -3 m'
_space_group_IT_number 221
_space_group_name_Hall '-P 4 2 3'
_cell_length_a 5.272
_cell_length_b 5.272
_cell_length_c 5.272
_cell_angle_alpha 90.00
_cell_angle_beta 90.00
_cell_angle_gamma 90.00
loop_
_atom_site_label
_atom_site_type_symbol
_atom_site_fract_x
_atom_site_fract_y
_atom_site_fract_z
Ba1 Ba 0.000 0.000 0.000
Mn1 Mn 0.000 0.500 0.500
Bi1 Bi 0.500 0.500 0.500
# - Energy of formation from the pure elements: 865 meV/atom
# - DOS at the Fermi energy: 8.2 states/eV/f.u.
# - ΔE to the lowest computed polymorph: 0 meV/atom
# - Magnetic moment: 2.0531 μB per atom